Density functional theory data (PBE-GGA) for crystalline MgBeMo2 at its relaxed geometry.

Its density of states at the Fermi level is 0.447 states/eV/atom. The calculated formation energy comes out at 1.16 eV/f.u. For the density, the calculation gives 6.37 g cm⁻³. The calculation puts the energy above the most stable polymorph in this dataset at 0.37 eV per formula unit.

The structure belongs to space group Cm (No. 8); the cell edges are 8.687, 3.296 and 4.451 Å and the angles 90.00°, 112.80° and 90.00°. Symmetry generates all atoms from Mg at (0.000, 0.000, 0.000), Be at (0.239, 0.500, 0.172), Mo at (0.224, 0.000, 0.675) and Mo at (0.459, 0.000, 0.463).